1.
# Mn5Pt

A crystal of Mn5Pt relaxed with PBEsol (SCAN, Alexandria).

Values from the calculation:
Total DFT energy (no corrections) in eV/atom: -27.304
Calculated formation energy in meV per atom: -393
Spin magnetization in μB per formula unit: 1.00

a b c (Å): 5.7380 5.7380 3.5685
angles (deg): 90.00 90.00 143.20
Sites, in units of the cell vectors:
Mn1 0.0000 0.0000 0.0000
Mn2 0.1678 0.8322 0.5000
Mn3 0.3293 0.6707 0.0000
Mn4 0.6707 0.3293 0.0000
Mn5 0.8322 0.1678 0.5000
Pt1 0.5000 0.5000 0.5000



2.
# MnPt2

A crystal of MnPt2 relaxed with PBEsol (SCAN, Alexandria).

Values from the calculation:
Total DFT energy (no corrections) in eV/atom: -53.451
Calculated formation energy in meV per atom: -571
Spin magnetization in μB per formula unit: 4.28

a b c (Å): 5.9340 5.9340 5.9340
angles (deg): 152.98 152.98 38.58
Sites, in units of the cell vectors:
Mn1 0.0000 0.0000 0.0000
Pt1 0.3416 0.3416 0.0000
Pt2 0.6584 0.6584 0.0000



3.
# MnPt2

A crystal of MnPt2 relaxed with PBEsol (SCAN, Alexandria).

Values from the calculation:
Total DFT energy (no corrections) in eV/atom: -53.407
Calculated formation energy in meV per atom: -526
Spin magnetization in μB per formula unit: 4.46

a b c (Å): 5.2073 5.2073 6.5525
angles (deg): 107.15 107.15 30.81
Sites, in units of the cell vectors:
Mn1 0.0291 0.0291 0.2867
Mn2 0.9709 0.9709 0.7133
Pt1 0.3247 0.3247 0.3811
Pt2 0.3603 0.3603 0.9673
Pt3 0.6397 0.6397 0.0327
Pt4 0.6753 0.6753 0.6189



4.
# MnPt

A crystal of MnPt relaxed with PBEsol (SCAN, Alexandria).

Values from the calculation:
Total DFT energy (no corrections) in eV/atom: -44.890
Calculated formation energy in meV per atom: -666
Spin magnetization in μB per formula unit: 4.25

a b c (Å): 4.8388 4.8388 4.8388
angles (deg): 134.61 134.61 66.13
Sites, in units of the cell vectors:
Mn1 0.3750 0.6250 0.7500
Mn2 0.6250 0.3750 0.2500
Pt1 0.1250 0.8750 0.2500
Pt2 0.8750 0.1250 0.7500



Question: Which value of total DFT energy (no corrections) does entry 2 give?
Answer: -53.451 eV/atom



Question: Which of these has the highest spin magnetization?
Answer: number 3



Question: Look up the spin magnetization of the second one.
Answer: 4.28 μB per formula unit



Question: Which of these has the lowest spin magnetization?
Answer: Mn5Pt